Record 1
A relaxed structure of BaLuZnIn. Source: Alexandria via LeMat-Bulk, functional GGA-PBE.

abc: 5.543 5.543 5.543
angles: 60.00 60.00 60.00
Atoms (fractional coordinates):
Lu  0.750  0.750  0.750
Ba  0.250  0.250  0.250
Zn  0.000  0.000  0.000
In  0.500  0.500  0.500

Output
- DFT formation energy: -0.166 eV per atom
- SG: F-43m
- N(E_F): 0.7562 states/eV per atom
- E: -11.12 eV/f.u.



Record 2
A relaxed structure of Ba2Mg3In2. Source: Alexandria via LeMat-Bulk, functional GGA-PBE.

abc: 4.925 6.854 8.305
angles: 116.05 90.00 111.06
Atoms (fractional coordinates):
Ba  0.139  0.278  0.764
Ba  0.861  0.722  0.236
In  0.142  0.284  0.211
In  0.858  0.716  0.789
Mg  0.500  0.000  0.000
Mg  0.369  0.738  0.574
Mg  0.631  0.262  0.426

Output
- DFT formation energy: -0.238 eV per atom
- SG: C2/m
- N(E_F): 0.6060 states/eV per atom
- E: -15.77 eV/f.u.



Record 3
A relaxed structure of BaMgIn. Source: Alexandria via LeMat-Bulk, functional GGA-PBE.

abc: 5.015 5.015 8.300
angles: 90.00 90.00 90.00
Atoms (fractional coordinates):
Ba  0.750  0.750  0.332
Ba  0.250  0.250  0.668
In  0.250  0.250  0.207
In  0.750  0.750  0.793
Mg  0.250  0.750  0.000
Mg  0.750  0.250  0.000

Output
- DFT formation energy: -0.332 eV per atom
- SG: P4/nmm
- N(E_F): 0.9093 states/eV per atom
- E: -7.25 eV/f.u.



Record 4
A relaxed structure of Ba2MgIn3. Source: Alexandria via LeMat-Bulk, functional GGA-PBE.

abc: 5.273 6.723 6.711
angles: 80.08 66.87 66.91
Atoms (fractional coordinates):
Ba  0.548  0.200  0.704
Ba  0.451  0.799  0.299
In  0.159  0.777  0.905
In  0.835  0.224  0.106
In  0.840  0.595  0.724
Mg  0.166  0.405  0.262

Output
- E above lowest polymorph: 0 meV/atom
- DFT formation energy: -0.409 eV per atom
- SG: Cm
- N(E_F): 0.6019 states/eV per atom
- E: -16.11 eV/f.u.



Record 5
A relaxed structure of BaMgIn. Source: Alexandria via LeMat-Bulk, functional GGA-PBE.

abc: 5.500 5.500 5.500
angles: 60.00 60.00 60.00
Each line ends with the local moment (μB).
Atoms (fractional coordinates):
Mg  0.000  0.000  0.000  0.02
In  0.750  0.750  0.750  0.18
Ba  0.500  0.500  0.500  0.11

Output
- DFT formation energy: -0.094 eV per atom
- SG: F-43m
- N(E_F): 1.1080 states/eV per atom
- E: -6.54 eV/f.u.



Record 6
A relaxed structure of Ba2MgIn2. Source: Alexandria via LeMat-Bulk, functional GGA-PBE.

abc: 5.398 6.694 11.496
angles: 86.38 76.42 66.22
Atoms (fractional coordinates):
Ba  0.700  0.713  0.887
Ba  0.300  0.287  0.113
Ba  0.487  0.698  0.328
Ba  0.513  0.302  0.672
In  0.860  0.720  0.560
In  0.995  0.121  0.889
In  0.005  0.879  0.111
In  0.140  0.280  0.440
Mg  0.777  0.085  0.362
Mg  0.223  0.915  0.638

Output
- E above lowest polymorph: 0 meV/atom
- DFT formation energy: -0.343 eV per atom
- SG: C2/m
- N(E_F): 0.8412 states/eV per atom
- E: -12.63 eV/f.u.



Record 7
A relaxed structure of BaMg9In2. Source: Alexandria via LeMat-Bulk, functional GGA-PBE.

abc: 8.025 9.652 9.652
angles: 80.05 65.44 65.44
Atoms (fractional coordinates):
Mg  0.433  0.420  0.826
Mg  0.071  0.920  0.326
Mg  0.148  0.420  0.174
Mg  0.741  0.826  0.580
Mg  0.317  0.674  0.080
Mg  0.148  0.174  0.420
Mg  0.317  0.080  0.674
Mg  0.679  0.174  0.580
Mg  0.433  0.826  0.420
Mg  0.679  0.580  0.174
Mg  0.009  0.920  0.674
Mg  0.602  0.326  0.080
Mg  0.009  0.674  0.920
Mg  0.741  0.580  0.826
Mg  0.000  0.000  0.000
Mg  0.071  0.326  0.920
Mg  0.750  0.500  0.500
Mg  0.602  0.080  0.326
Ba  0.500  0.000  0.000
Ba  0.250  0.500  0.500
In  0.875  0.250  0.250
In  0.875  0.750  0.250
In  0.875  0.250  0.750
In  0.375  0.750  0.750

Output
- DFT formation energy: -0.125 eV per atom
- SG: I4_1/amd
- N(E_F): 0.4747 states/eV per atom
- E: -23.26 eV/f.u.



Record 8
A relaxed structure of Ba2Mg3In4. Source: Alexandria via LeMat-Bulk, functional GGA-PBE.

abc: 6.573 9.087 9.686
angles: 90.00 109.83 90.00
Atoms (fractional coordinates):
Mg  0.022  0.750  0.543
Mg  0.522  0.750  0.543
Mg  0.000  0.000  0.000
Mg  0.978  0.250  0.457
Mg  0.500  0.500  0.000
Mg  0.478  0.250  0.457
Ba  0.605  0.898  0.210
Ba  0.395  0.102  0.790
Ba  0.105  0.602  0.210
Ba  0.895  0.398  0.790
In  0.677  0.505  0.354
In  0.177  0.995  0.354
In  0.823  0.005  0.646
In  0.185  0.750  0.871
In  0.685  0.750  0.871
In  0.315  0.250  0.129
In  0.323  0.495  0.646
In  0.815  0.250  0.129

Output
- DFT formation energy: -0.273 eV per atom
- SG: Cmce
- N(E_F): 0.5965 states/eV per atom
- E: -22.04 eV/f.u.



Record 9
A relaxed structure of BaMg6In12. Source: Alexandria via LeMat-Bulk, functional GGA-PBE.

abc: 8.377 8.377 8.377
angles: 104.01 104.01 104.01
Atoms (fractional coordinates):
Mg  0.297  0.707  0.297
Mg  0.703  0.703  0.293
Mg  0.293  0.703  0.703
Mg  0.707  0.297  0.297
Mg  0.297  0.297  0.707
Mg  0.703  0.293  0.703
In  0.381  0.128  0.381
In  0.889  0.500  0.111
In  0.889  0.111  0.500
In  0.500  0.111  0.889
In  0.500  0.889  0.111
In  0.128  0.381  0.381
In  0.111  0.500  0.889
In  0.619  0.872  0.619
In  0.619  0.619  0.872
In  0.381  0.381  0.128
In  0.872  0.619  0.619
In  0.111  0.889  0.500
Ba  0.000  0.000  0.000

Output
- DFT formation energy: -0.056 eV per atom
- SG: R-3m
- N(E_F): 0.5391 states/eV per atom
- E: -45.42 eV/f.u.



Record 10
A relaxed structure of Ba2MgIn. Source: Alexandria via LeMat-Bulk, functional GGA-PBE.

abc: 6.081 4.295 6.107
angles: 90.00 90.00 90.00
Atoms (fractional coordinates):
In  0.000  0.625  0.398
Ba  0.500  0.125  0.363
Ba  0.000  0.125  0.889
Mg  0.500  0.625  0.850

Output
- DFT formation energy: -0.235 eV per atom
- SG: Pmm2
- N(E_F): 0.8224 states/eV per atom
- E: -9.12 eV/f.u.



Record 11
A relaxed structure of BaMg3In9. Source: Alexandria via LeMat-Bulk, functional GGA-PBE.

abc: 6.270 7.977 8.171
angles: 81.86 67.44 68.35
Atoms (fractional coordinates):
In  0.644  0.351  0.356
In  0.710  0.783  0.780
In  0.290  0.217  0.220
In  0.510  0.217  0.780
In  0.000  0.649  0.356
In  0.000  0.351  0.644
In  0.490  0.783  0.220
In  0.356  0.649  0.644
In  0.000  0.500  0.000
Mg  0.500  0.500  0.000
Mg  0.500  0.000  0.500
Mg  0.000  0.000  0.500
Ba  0.000  0.000  0.000

Output
- DFT formation energy: -0.151 eV per atom
- SG: C2/m
- N(E_F): 0.4678 states/eV per atom
- E: -33.32 eV/f.u.



Record 12
A relaxed structure of Ba3Mg3In8. Source: Alexandria via LeMat-Bulk, functional GGA-PBE.

abc: 5.090 9.583 9.583
angles: 70.14 74.60 74.60
Atoms (fractional coordinates):
In  0.842  0.520  0.795
In  0.842  0.795  0.520
In  0.158  0.480  0.205
In  0.360  0.925  0.355
In  0.640  0.075  0.645
In  0.640  0.645  0.075
In  0.360  0.355  0.925
In  0.158  0.205  0.480
Mg  0.500  0.000  0.000
Mg  0.000  0.185  0.815
Mg  0.000  0.815  0.185
Ba  0.500  0.500  0.500
Ba  0.797  0.203  0.203
Ba  0.203  0.797  0.797

Output
- DFT formation energy: -0.351 eV per atom
- SG: Immm
- N(E_F): 0.2243 states/eV per atom
- E: -37.37 eV/f.u.



Record 13
A relaxed structure of Ba2Mg3In6. Source: Alexandria via LeMat-Bulk, functional GGA-PBE.

abc: 4.392 8.919 8.919
angles: 99.35 90.00 90.00
Atoms (fractional coordinates):
Ba  0.000  0.710  0.290
Ba  0.000  0.290  0.710
In  0.500  0.646  0.951
In  0.500  0.620  0.620
In  0.500  0.380  0.380
In  0.500  0.354  0.049
In  0.500  0.951  0.646
In  0.500  0.049  0.354
Mg  0.000  0.198  0.198
Mg  0.000  0.802  0.802
Mg  0.500  0.000  0.000

Output
- DFT formation energy: -0.216 eV per atom
- SG: Cmmm
- N(E_F): 0.4131 states/eV per atom
- E: -27.43 eV/f.u.



Record 14
A relaxed structure of Ba2Mg12In7. Source: Alexandria via LeMat-Bulk, functional GGA-PBE.

abc: 4.723 11.792 11.792
angles: 120.00 90.00 90.00
Atoms (fractional coordinates):
Mg  0.243  0.733  0.851
Mg  0.751  0.045  0.429
Mg  0.757  0.851  0.118
Mg  0.249  0.617  0.045
Mg  0.249  0.429  0.383
Mg  0.757  0.267  0.149
Mg  0.751  0.571  0.617
Mg  0.751  0.383  0.955
Mg  0.243  0.118  0.267
Mg  0.249  0.955  0.571
Mg  0.243  0.149  0.882
Mg  0.757  0.882  0.733
In  0.252  0.711  0.588
In  0.748  0.122  0.711
In  0.252  0.878  0.289
In  0.252  0.412  0.122
In  0.748  0.588  0.878
In  0.500  0.000  0.000
In  0.748  0.289  0.412
Ba  0.253  0.333  0.667
Ba  0.747  0.667  0.333

Output
- DFT formation energy: -0.167 eV per atom
- SG: P-3
- N(E_F): 0.5302 states/eV per atom
- E: -45.66 eV/f.u.



Record 15
A relaxed structure of Ba2MgIn. Source: Alexandria via LeMat-Bulk, functional GGA-PBE.

abc: 9.675 9.675 7.812
angles: 51.74 51.74 90.00
Atoms (fractional coordinates):
In  0.000  0.000  0.000
In  0.750  0.250  0.500
Ba  0.634  0.125  0.250
Ba  0.875  0.884  0.750
Ba  0.116  0.625  0.250
Ba  0.375  0.366  0.750
Mg  0.500  0.500  0.000
Mg  0.250  0.750  0.500

Output
- DFT formation energy: 0.098 eV per atom
- SG: I-42d
- N(E_F): 1.6291 states/eV per atom
- E: -7.79 eV/f.u.



Record 16
A relaxed structure of Ba2MgIn3. Source: Alexandria via LeMat-Bulk, functional GGA-PBE.

abc: 6.796 6.796 10.076
angles: 105.75 105.75 101.26
Atoms (fractional coordinates):
Mg  0.332  0.332  0.664
Mg  0.668  0.668  0.336
In  0.164  0.668  0.832
In  0.836  0.332  0.168
In  0.332  0.836  0.168
In  0.668  0.164  0.832
In  0.166  0.166  0.333
In  0.834  0.834  0.667
Ba  0.750  0.250  0.500
Ba  0.745  0.745  0.000
Ba  0.255  0.255  0.000
Ba  0.250  0.750  0.500

Output
- E above lowest polymorph: 47 meV/atom
- DFT formation energy: -0.362 eV per atom
- SG: Fmmm
- N(E_F): 0.5243 states/eV per atom
- E: -15.83 eV/f.u.



Record 17
A relaxed structure of BaMgIn. Source: Alexandria via LeMat-Bulk, functional GGA-PBE.

abc: 5.340 5.340 4.207
angles: 90.00 90.00 120.00
Atoms (fractional coordinates):
Mg  0.333  0.667  0.500
In  0.667  0.333  0.500
Ba  0.000  0.000  0.000

Output
- DFT formation energy: -0.273 eV per atom
- SG: P-6m2
- N(E_F): 0.8752 states/eV per atom
- E: -7.07 eV/f.u.



Record 18
A relaxed structure of Ba2MgIn. Source: Alexandria via LeMat-Bulk, functional GGA-PBE.

abc: 6.396 6.396 6.396
angles: 130.03 130.03 73.36
Atoms (fractional coordinates):
Ba  0.000  0.000  0.000
Ba  0.250  0.750  0.500
Mg  0.750  0.250  0.500
In  0.500  0.500  0.000

Output
- DFT formation energy: -0.119 eV per atom
- SG: I-4m2
- N(E_F): 0.8520 states/eV per atom
- E: -8.65 eV/f.u.



Record 19
A relaxed structure of BaMg4In8. Source: Alexandria via LeMat-Bulk, functional GGA-PBE.

abc: 6.301 8.014 8.014
angles: 81.11 66.85 66.85
Atoms (fractional coordinates):
In  0.500  0.221  0.779
In  0.651  0.349  0.349
In  0.721  0.779  0.779
In  0.500  0.779  0.221
In  0.000  0.349  0.651
In  0.000  0.651  0.349
In  0.279  0.221  0.221
In  0.349  0.651  0.651
Mg  0.000  0.500  0.000
Mg  0.500  0.500  0.000
Mg  0.000  0.000  0.500
Mg  0.500  0.000  0.500
Ba  0.000  0.000  0.000

Output
- DFT formation energy: -0.171 eV per atom
- SG: I4/mmm
- N(E_F): 0.4325 states/eV per atom
- E: -32.43 eV/f.u.



Record 20
A relaxed structure of Ba2MgIn. Source: Alexandria via LeMat-Bulk, functional GGA-PBE.

abc: 5.912 5.912 5.912
angles: 60.00 60.00 60.00
Atoms (fractional coordinates):
Ba  0.000  0.000  0.000
Ba  0.250  0.250  0.250
In  0.500  0.500  0.500
Mg  0.750  0.750  0.750

Output
- DFT formation energy: -0.088 eV per atom
- SG: F-43m
- N(E_F): 0.6974 states/eV per atom
- E: -8.53 eV/f.u.



Record 21
A relaxed structure of Ba2MgIn10. Source: Alexandria via LeMat-Bulk, functional GGA-PBE.

abc: 6.672 11.434 11.660
angles: 90.00 90.00 90.00
Atoms (fractional coordinates):
In  0.715  0.710  0.436
In  0.715  0.290  0.564
In  0.715  0.210  0.064
In  0.715  0.790  0.936
In  0.000  0.907  0.415
In  0.000  0.418  0.725
In  0.000  0.582  0.275
In  0.000  0.082  0.225
In  0.000  0.700  0.652
In  0.285  0.290  0.564
In  0.000  0.918  0.775
In  0.000  0.593  0.915
In  0.000  0.407  0.085
In  0.000  0.200  0.848
In  0.285  0.710  0.436
In  0.000  0.800  0.152
In  0.000  0.300  0.348
In  0.000  0.093  0.585
In  0.285  0.790  0.936
In  0.285  0.210  0.064
Mg  0.000  0.000  0.000
Mg  0.000  0.500  0.500
Ba  0.500  0.085  0.342
Ba  0.500  0.915  0.658
Ba  0.500  0.585  0.158
Ba  0.500  0.415  0.842

Output
- DFT formation energy: -0.103 eV per atom
- SG: Pbam
- N(E_F): 0.4820 states/eV per atom
- E: -34.16 eV/f.u.



Record 22
A relaxed structure of Ba2MgIn. Source: Alexandria via LeMat-Bulk, functional GGA-PBE.

abc: 11.549 11.549 11.549
angles: 21.02 21.02 21.02
Atoms (fractional coordinates):
Ba  0.997  0.997  0.997
Ba  0.503  0.503  0.503
In  0.250  0.250  0.250
Mg  0.750  0.750  0.750

Output
- DFT formation energy: -0.016 eV per atom
- SG: R-3m
- N(E_F): 1.2099 states/eV per atom
- E: -8.24 eV/f.u.